# SrZrSe2

Crystalline SrZrSe2 at its relaxed geometry (PBE, Alexandria).

Cell lengths 8.996, 8.996, 8.996 Å; angles 27.36, 27.36, 27.36 degrees
Sites, in units of the cell vectors:
Zr  0.000  0.000  0.000
Se  0.903  0.903  0.903
Se  0.097  0.097  0.097
Sr  0.500  0.500  0.500

Computed properties:
For the uncorrected formation energy, the calculation gives -890 meV/atom. The energy above the most stable polymorph in this dataset is 591 meV/atom. The total magnetic moment is 0.00 μB/cell. The energy comes out at -0.3815 Ry/atom.